CaCu4Si after structural relaxation. Source: the Alexandria database, functional PBE-GGA.

- Energy relative to the elements, uncorrected: -51 kJ/mol of formula units
- Electronic total energy: -4.06 eV/atom
- Crystal system: cubic

a = 5.0068 Å, b = 5.0068 Å, c = 5.0068 Å
α = 60.00°, β = 60.00°, γ = 60.00°
Positions (direct):
Cu (0.1263, 0.6246, 0.6246)
Cu (0.6246, 0.1263, 0.6246)
Cu (0.6246, 0.6246, 0.6246)
Cu (0.6246, 0.6246, 0.1263)
Si (0.2500, 0.2500, 0.2500)
Ca (0.0000, 0.0000, 0.0000)